Entry 1:
VASP calculation (PBE-GGA) on a relaxed BeFeAgSn crystal.

a b c (Å): 4.408 4.408 4.408
angles (deg): 60.00 60.00 60.00
Element x y z (fractional)
Fe1 0.750 0.750 0.750
Sn1 0.000 0.000 0.000
Be1 0.500 0.500 0.500
Ag1 0.250 0.250 0.250

Calculated values
crystal system: cubic
symmetry: F-43m, No. 216
calculated density: 7.99 Mg/m³
relative energy among the computed polymorphs: 0 meV per atom



Entry 2:
VASP calculation (PBE-GGA) on a relaxed TbTmFe2Si2C crystal.

a b c (Å): 5.619 5.619 6.707
angles (deg): 126.59 126.59 40.73
Element x y z (fractional)
C1 0.502 0.502 0.505
Si1 0.339 0.339 0.784
Si2 0.660 0.660 0.213
Fe1 0.299 0.299 0.405
Fe2 0.702 0.702 0.597
Tm1 0.058 0.058 0.792
Tb1 0.939 0.939 0.205

Calculated values
E: -7.23 eV per atom
crystal system: monoclinic
symmetry: Cm, No. 8
calculated density: 7.91 Mg/m³



Entry 3:
VASP calculation (PBE-GGA) on a relaxed La2Pd5Au crystal.

a b c (Å): 5.975 5.975 5.975
angles (deg): 118.80 118.80 92.10
Element x y z (fractional)
La1 0.778 0.278 0.500
La2 0.278 0.778 0.500
Pd1 0.778 0.778 0.500
Pd2 0.278 0.278 0.000
Pd3 0.278 0.278 0.500
Pd4 0.778 0.278 0.000
Pd5 0.278 0.778 0.000
Au1 0.778 0.778 0.000

Calculated values
ΔH_f (0 K): -0.799 eV/atom
crystal system: tetragonal
symmetry: I4/mmm, No. 139
calculated density: 10.89 Mg/m³



Entry 4:
VASP calculation (PBE-GGA) on a relaxed SrBeAs2Ir crystal.

a b c (Å): 6.756 6.756 6.756
angles (deg): 145.83 145.83 49.10
Element x y z (fractional)
Be1 0.000 0.000 0.000
As1 0.617 0.117 0.500
As2 0.883 0.383 0.500
Ir1 0.500 0.500 0.000
Sr1 0.250 0.750 0.500

Calculated values
E: -5.19 eV per atom
crystal system: tetragonal
symmetry: I-4m2, No. 119
calculated density: 7.52 Mg/m³